# 1
Below is a relaxed structure of PuZr8, with properties calculated at the PBE-GGA level.

a b c (Å): 7.1657 7.1657 7.1657
angles (deg): 95.76 95.76 143.07
With the nearest neighbours (Å) after each atom.
Sites, in units of the cell vectors:
Pu 0.0000 0.0000 0.0000  12 Zr 3.21
Zr 0.0000 0.3339 0.3339  11 Zr 3.19-3.21, 1 Pu 3.21
Zr 0.0000 0.6661 0.6661  11 Zr 3.19-3.21, 1 Pu 3.21
Zr 0.3334 0.3334 0.6669  10 Zr 3.20-3.21, 2 Pu 3.21
Zr 0.3334 0.6666 0.0000  10 Zr 3.20-3.21, 2 Pu 3.21
Zr 0.3339 0.0000 0.3339  11 Zr 3.19-3.21, 1 Pu 3.21
Zr 0.6661 0.0000 0.6661  11 Zr 3.19-3.21, 1 Pu 3.21
Zr 0.6666 0.3334 0.0000  10 Zr 3.20-3.21, 2 Pu 3.21
Zr 0.6666 0.6666 0.3332  10 Zr 3.20-3.21, 2 Pu 3.21

Results
Formation energy: 0.05 eV per atom
Total moment: 0.62 μB/atom
Energy: -9.15 eV/atom

# 2
Below is a relaxed structure of Sm2Ga3SiPd4, with properties calculated at the PBE-GGA level.

a b c (Å): 4.2410 4.2410 10.4558
angles (deg): 90.00 90.00 90.00
With the nearest neighbours (Å) after each atom.
Sites, in units of the cell vectors:
Sm 0.0000 0.5000 0.2384  8 Pd 3.22-3.46, 2 Si 3.27, 6 Ga 3.27-3.28
Sm 0.5000 0.0000 0.7616  8 Pd 3.22-3.46, 2 Si 3.27, 6 Ga 3.27-3.28
Ga 0.0000 0.0000 0.0000  4 Pd 2.50
Ga 0.0000 0.5000 0.6342  5 Pd 2.50-2.54
Ga 0.5000 0.0000 0.3658  5 Pd 2.50-2.54
Si 0.5000 0.5000 0.0000  4 Pd 2.50
Pd 0.0000 0.0000 0.5000  4 Ga 2.54
Pd 0.0000 0.5000 0.8736  2 Si 2.50, 3 Ga 2.50
Pd 0.5000 0.0000 0.1264  2 Si 2.50, 3 Ga 2.50
Pd 0.5000 0.5000 0.5000  4 Ga 2.54

Results
Total moment: 0.00 μB/atom
Energy: -5.28 eV/atom
Energy relative to the elements, uncorrected: -0.81 eV per atom

# 3
Below is a relaxed structure of DyThNbN3, with properties calculated at the PBE-GGA level.

a b c (Å): 7.2224 3.3889 7.9915
angles (deg): 90.00 92.37 90.00
With the nearest neighbours (Å) after each atom.
Sites, in units of the cell vectors:
Dy 0.1236 0.2500 0.3459  7 N 2.48-2.70
Dy 0.8764 0.7500 0.6541  7 N 2.48-2.70
Th 0.3945 0.7500 0.6750  3 N 2.24-2.45
Th 0.6055 0.2500 0.3250  3 N 2.24-2.45
Nb 0.1330 0.2500 0.9399  4 N 2.08-2.27
Nb 0.8670 0.7500 0.0601  4 N 2.08-2.27
N 0.1308 0.2500 0.6559  1 Nb 2.27, 3 Dy 2.48-2.50
N 0.1688 0.7500 0.0879  3 Nb 2.08-2.18
N 0.3750 0.7500 0.3939  3 Th 2.24-2.45, 2 Dy 2.50
N 0.6250 0.2500 0.6061  3 Th 2.24-2.45, 2 Dy 2.50
N 0.8312 0.2500 0.9121  3 Nb 2.08-2.18
N 0.8692 0.7500 0.3441  1 Nb 2.27, 3 Dy 2.48-2.50

Results
Total moment: 0.00 μB/atom
Energy: -8.95 eV/atom
Energy relative to the elements, uncorrected: -1.11 eV per atom

# 4
Below is a relaxed structure of Tb6Y, with properties calculated at the PBE-GGA level.

a b c (Å): 8.0299 8.0299 8.0299
angles (deg): 90.00 90.00 90.00
With the nearest neighbours (Å) after each atom.
Sites, in units of the cell vectors:
Tb 0.0000 0.2500 0.5000  4 Tb 2.84
Tb 0.0000 0.5000 0.2500  4 Tb 2.84
Tb 0.0000 0.5000 0.7500  4 Tb 2.84
Tb 0.0000 0.7500 0.5000  4 Tb 2.84
Tb 0.2500 0.0000 0.5000  4 Tb 2.84
Tb 0.2500 0.5000 0.0000  4 Tb 2.84
Tb 0.5000 0.0000 0.2500  4 Tb 2.84
Tb 0.5000 0.0000 0.7500  4 Tb 2.84
Tb 0.5000 0.2500 0.0000  4 Tb 2.84
Tb 0.5000 0.7500 0.0000  4 Tb 2.84
Tb 0.7500 0.0000 0.5000  4 Tb 2.84
Tb 0.7500 0.5000 0.0000  4 Tb 2.84
Y 0.0000 0.0000 0.0000  24 Tb 4.49
Y 0.5000 0.5000 0.5000  24 Tb 4.49

Results
Formation energy: 1.43 eV per atom
Total moment: 0.00 μB/atom
Energy: -3.46 eV/atom

# 5
Below is a relaxed structure of CoCuBr, with properties calculated at the PBE-GGA level.

a b c (Å): 3.0590 3.1119 5.9254
angles (deg): 105.07 90.47 90.00
With the nearest neighbours (Å) after each atom.
Sites, in units of the cell vectors:
Co 0.0000 0.0000 0.0000  2 Br 2.40, 4 Cu 2.54-2.55
Cu 0.5051 0.6139 0.2299  4 Co 2.54-2.55, 1 Br 2.55
Br 0.4955 0.8392 0.6762  2 Co 2.40, 1 Cu 2.55

Results
Total moment: 0.69 μB/atom
Energy: -3.77 eV/atom
Energy relative to the elements, uncorrected: 0.52 eV per atom

# 6
Below is a relaxed structure of NdTmBr6, with properties calculated at the PBE-GGA level.

a b c (Å): 7.0492 13.4203 7.0334
angles (deg): 90.00 106.91 90.00
With the nearest neighbours (Å) after each atom.
Sites, in units of the cell vectors:
Nd 0.0000 0.0000 0.0000  6 Br 2.89-2.92
Nd 0.5000 0.5000 0.0000  6 Br 2.89-2.92
Tm 0.0000 0.5000 0.5000  6 Br 2.77-2.78
Tm 0.5000 0.0000 0.5000  6 Br 2.77-2.78
Br 0.2382 0.3562 0.7393  1 Tm 2.78, 1 Nd 2.92
Br 0.2382 0.6438 0.7393  1 Tm 2.78, 1 Nd 2.92
Br 0.2456 0.5000 0.2565  1 Tm 2.77, 1 Nd 2.89
Br 0.2544 0.0000 0.7435  1 Tm 2.77, 1 Nd 2.89
Br 0.2618 0.1438 0.2607  1 Tm 2.78, 1 Nd 2.92
Br 0.2618 0.8562 0.2607  1 Tm 2.78, 1 Nd 2.92
Br 0.7382 0.1438 0.7393  1 Tm 2.78, 1 Nd 2.92
Br 0.7382 0.8562 0.7393  1 Tm 2.78, 1 Nd 2.92
Br 0.7456 0.0000 0.2565  1 Tm 2.77, 1 Nd 2.89
Br 0.7544 0.5000 0.7435  1 Tm 2.77, 1 Nd 2.89
Br 0.7618 0.3562 0.2607  1 Tm 2.78, 1 Nd 2.92
Br 0.7618 0.6438 0.2607  1 Tm 2.78, 1 Nd 2.92

Results
Total moment: 0.00 μB/atom
Energy: -4.24 eV/atom
Energy relative to the elements, uncorrected: -1.83 eV per atom

# 7
Below is a relaxed structure of GaSiH2, with properties calculated at the PBE-GGA level.

a b c (Å): 2.7329 5.7447 7.5879
angles (deg): 73.22 89.78 89.82
With the nearest neighbours (Å) after each atom.
Sites, in units of the cell vectors:
Ga 0.0000 0.0000 0.0000  2 H 2.38-2.59, 1 Si 2.51
Ga 0.4993 0.0325 0.6653  1 H 2.49, 1 Si 2.50, 2 Ga 2.73
Si 0.0010 0.5627 0.1914  1 H 1.54
Si 0.4988 0.4613 0.4609  1 H 1.54
H 0.0030 0.3241 0.1360  1 Si 1.54
H 0.4962 0.6971 0.5189  1 Si 1.54
H 0.9855 0.4527 0.8071  1 H 0.76
H 0.9881 0.5881 0.7984  1 H 0.76

Results
Total moment: 0.00 μB/atom
Energy: -3.56 eV/atom

# 8
Below is a relaxed structure of YZnSe4, with properties calculated at the PBE-GGA level.

a b c (Å): 5.7887 5.7887 5.7887
angles (deg): 60.00 60.00 60.00
With the nearest neighbours (Å) after each atom.
Sites, in units of the cell vectors:
Y 0.0000 0.0000 0.0000  12 Se 3.39, 4 Zn 3.54
Zn 0.7500 0.7500 0.7500  12 Se 3.39, 4 Y 3.54
Se 0.3750 0.3750 0.3750  6 Se 2.89
Se 0.3750 0.3750 0.8750  6 Se 2.89
Se 0.3750 0.8750 0.3750  6 Se 2.89
Se 0.8750 0.3750 0.3750  6 Se 2.89

Results
Total moment: 0.00 μB/atom
Energy: -3.66 eV/atom
Energy relative to the elements, uncorrected: -0.04 eV per atom

Which value of total moment does entry 2 give? 0.00 μB/atom